A plane-wave DFT calculation with GGA-PBE was carried out for an optimized crystal structure of La2HoUN5.

Properties
E_tot, Ry/atom: -0.64462
Raw formation energy, eV per atom: -1.287

Unit cell a=4.1078 b=4.1078 c=9.0436 alpha=90.00 beta=90.00 gamma=90.00
Fractional coordinates of all 9 atoms:
La 0.5000 0.5000 0.2680
La 0.5000 0.5000 0.7320
Ho 0.0000 0.0000 0.0000
U 0.0000 0.0000 0.5000
N 0.0000 0.5000 0.5000
N 0.5000 0.0000 0.5000
N 0.0000 0.0000 0.7519
N 0.0000 0.0000 0.2481
N 0.5000 0.5000 0.0000